# 1
Below is an optimized crystal structure of TbTmCuHg, with properties calculated at the PBE level.

Geometry as extended XYZ:
```
4
Lattice="3.5175 0.0000 0.0000 0.0000 3.5175 0.0000 0.0000 0.0000 7.4442" Properties=species:S:1:pos:R:3 pbc="T T T"
Tb 0.0000 0.0000 6.2105
Tm 0.0000 0.0000 2.8397
Cu 1.7588 1.7588 4.4484
Hg 1.7588 1.7588 0.8536
```

Properties
Energy above the lowest structure with this stoichiometry: 0 meV per atom
DOS(E_F): 3.6 states/eV per cell
M_tot: 0.000 μB per atom

=====

# 2
Below is an optimized crystal structure of Be6Co2Si, with properties calculated at the PBE level.

Geometry as extended XYZ:
```
18
Lattice="-4.4503 2.4490 -2.3282 -2.0730 -5.1928 -1.4997 -2.5815 -0.0674 4.8637" Properties=species:S:1:pos:R:3 pbc="T T T"
Be -4.6178 -3.6728 2.9625
Be -7.0948 -3.0805 1.8266
Co -2.0944 -2.0784 -0.2621
Be -3.9793 -3.2514 -0.6009
Be -2.0100 0.2692 -0.7908
Be -5.8052 0.1206 -0.3982
Be -5.9172 -2.2621 0.2246
Be -3.2997 -2.9318 1.4340
Be -3.1876 -0.5491 0.8112
Be -5.1255 0.4402 1.6368
Be -3.2815 -1.2127 3.0788
Co -7.0104 -0.7328 1.2979
Co -3.8380 1.4322 0.0580
Be -4.4870 0.8616 -1.9267
Co -5.2668 -4.2434 0.9778
Si -3.2617 -1.3719 -1.9139
Si -1.2907 -0.0337 2.4319
Be -5.8233 -1.5986 -2.0430
```

Properties
DOS(E_F): 5.3 states/eV per cell
M_tot: 0.000 μB per atom
Electronic total energy: -4.753 eV per atom